# 1
DFT (GGA-PBEsol) results for crystalline SrZrO3 at its relaxed geometry.

Computed properties:
N(E_F)	0.00	states/eV per atom
E_form (uncorrected)	-3.35	eV/atom

abc: 5.7635 5.8209 8.1738
angles: 90.00 90.00 90.00
Closest atoms and distances in Å follow each position.
Fractional coordinates of all 20 atoms:
O (0.7135, 0.2138, 0.9596)  2 Zr 2.09-2.10
O (0.7135, 0.2138, 0.5404)  2 Zr 2.09-2.10
O (0.0763, 0.0200, 0.7500)  2 Zr 2.09
Zr (0.5000, 0.5000, 0.5000)  6 O 2.09-2.10
O (0.2865, 0.7862, 0.0404)  2 Zr 2.09-2.10
O (0.2135, 0.2862, 0.4596)  2 Zr 2.09-2.10
O (0.2135, 0.2862, 0.0404)  2 Zr 2.09-2.10
O (0.2865, 0.7862, 0.4596)  2 Zr 2.09-2.10
O (0.5763, 0.4800, 0.2500)  2 Zr 2.09
O (0.4237, 0.5200, 0.7500)  2 Zr 2.09
Sr (0.0075, 0.5329, 0.2500)  6 O 2.50-2.77
Sr (0.9925, 0.4671, 0.7500)  6 O 2.50-2.77
Sr (0.5075, 0.9671, 0.7500)  6 O 2.50-2.77
Sr (0.4925, 0.0329, 0.2500)  6 O 2.50-2.77
Zr (0.0000, 0.0000, 0.0000)  6 O 2.09-2.10
Zr (0.0000, 0.0000, 0.5000)  6 O 2.09-2.10
O (0.7865, 0.7138, 0.5404)  2 Zr 2.09-2.10
O (0.9237, 0.9800, 0.2500)  2 Zr 2.09
Zr (0.5000, 0.5000, 0.0000)  6 O 2.09-2.10
O (0.7865, 0.7138, 0.9596)  2 Zr 2.09-2.10

=====

# 2
DFT (GGA-PBEsol) results for crystalline SrZrO3 at its relaxed geometry.

Computed properties:
N(E_F)	0.00	states/eV per atom
E_form (uncorrected)	-3.33	eV/atom

abc: 4.1702 5.7495 5.7495
angles: 90.00 90.00 90.00
Closest atoms and distances in Å follow each position.
Fractional coordinates of all 10 atoms:
Sr (0.0000, 0.5000, 0.0000)  8 O 2.61-2.87
O (0.5000, 0.6926, 0.8074)  2 Zr 2.09
O (0.5000, 0.3074, 0.1926)  2 Zr 2.09
Zr (0.5000, 0.5000, 0.5000)  6 O 2.09
Zr (0.5000, 0.0000, 0.0000)  6 O 2.09
O (0.0000, 0.5000, 0.5000)  2 Zr 2.09
O (0.5000, 0.8074, 0.3074)  2 Zr 2.09
O (0.5000, 0.1926, 0.6926)  2 Zr 2.09
Sr (0.0000, 0.0000, 0.5000)  8 O 2.61-2.87
O (0.0000, 0.0000, 0.0000)  2 Zr 2.09

=====

# 3
DFT (GGA-PBEsol) results for crystalline SrZrO3 at its relaxed geometry.

Computed properties:
N(E_F)	0.00	states/eV per atom
E_form (uncorrected)	-3.29	eV/atom

abc: 4.1332 4.1332 4.1332
angles: 90.00 90.00 90.00
Closest atoms and distances in Å follow each position.
Fractional coordinates of all 5 atoms:
Zr (0.5000, 0.5000, 0.5000)  6 O 2.07
O (0.5000, 0.0000, 0.5000)  2 Zr 2.07
Sr (0.0000, 0.0000, 0.0000)  12 O 2.92
O (0.0000, 0.5000, 0.5000)  2 Zr 2.07
O (0.5000, 0.5000, 0.0000)  2 Zr 2.07

=====

Q: Among the records above, which one has the lowest E_form (uncorrected)?
A: number 1

=====

Q: What is the formula in the first record?
A: SrZrO3